The following is a PBE+U calculation of an optimized crystal structure of AcBe2WO8, from the Alexandria database.

Lattice parameters (Å, degrees): 8.846 5.343 7.067 90.00 93.31 90.00
Space group C2/m (No. 12)
Unique sites:
Ac  0.000  0.000  0.000 [2 per cell]
Be  0.136  0.500  0.283 [4 per cell]
W  0.000  0.000  0.500 [2 per cell]
O  0.041  0.247  0.308 [8 per cell]
O  0.208  0.000  0.597 [4 per cell]
O  0.218  0.500  0.078 [4 per cell]

Calculated values
The value obtained for the uncorrected energy is -6.8961 eV/atom. As for the calculated volume: 13.9 Å³/atom.